Record 1
# KTe2ICl, relaxed, DFT PBE-GGA
data_KTe2ICl
_cell_length_a 5.324
_cell_length_b 5.324
_cell_length_c 7.831
_cell_angle_alpha 90.00
_cell_angle_beta 90.00
_cell_angle_gamma 90.00
_space_group_name_H-M_alt 'P 1'
_space_group_IT_number 1
_space_group_name_Hall 'P 1'
loop_
_atom_site_label
_atom_site_type_symbol
_atom_site_fract_x
_atom_site_fract_y
_atom_site_fract_z
I1 I 0.000 0.000 0.500
K1 K 0.500 0.500 0.500
Te1 Te 0.000 0.500 0.000
Te2 Te 0.500 0.000 0.000
Cl1 Cl 0.000 0.000 0.000
# total magnetic moment: 0.31 μB per atom
# uncorrected energy: -2.264 eV/atom
# Fermi-level density of states: 5.8 states/eV/cell

=====

Record 2
# KTeICl2, relaxed, DFT PBE-GGA
data_KTeICl2
_cell_length_a 5.534
_cell_length_b 5.534
_cell_length_c 6.253
_cell_angle_alpha 90.00
_cell_angle_beta 90.00
_cell_angle_gamma 90.00
_space_group_name_H-M_alt 'P 1'
_space_group_IT_number 1
_space_group_name_Hall 'P 1'
loop_
_atom_site_label
_atom_site_type_symbol
_atom_site_fract_x
_atom_site_fract_y
_atom_site_fract_z
I1 I 0.000 0.000 0.500
K1 K 0.500 0.500 0.500
Te1 Te 0.000 0.000 0.000
Cl1 Cl 0.000 0.500 0.000
Cl2 Cl 0.500 0.000 0.000
# total magnetic moment: 0.00 μB per atom
# uncorrected energy: -2.679 eV/atom
# Fermi-level density of states: 2.6 states/eV/cell